1.
A relaxed structure of Tb5Ge4. Source: Alexandria via LeMat-Bulk, functional GGA-PBE.

Cell: 7.6984 7.7762 14.7823 Å, 90.00 90.00 90.00°
With the nearest neighbours (Å) after each atom.
Sites, in units of the cell vectors:
Tb: 0.7169 0.9980 0.2500  6 Ge 2.98-3.13
Tb: 0.2169 0.5020 0.2500  6 Ge 2.98-3.13
Tb: 0.7831 0.4980 0.7500  6 Ge 2.98-3.13
Tb: 0.2831 0.0020 0.7500  6 Ge 2.98-3.13
Tb: 0.0315 0.1764 0.3974  6 Ge 2.99-3.24
Tb: 0.5315 0.3236 0.1026  6 Ge 2.99-3.24
Tb: 0.4685 0.6764 0.6026  6 Ge 2.99-3.24
Tb: 0.9685 0.8236 0.8974  6 Ge 2.99-3.24
Tb: 0.9685 0.8236 0.6026  6 Ge 2.99-3.24
Tb: 0.4685 0.6764 0.8974  6 Ge 2.99-3.24
Tb: 0.5315 0.3236 0.3974  6 Ge 2.99-3.24
Tb: 0.0315 0.1764 0.1026  6 Ge 2.99-3.24
Tb: 0.8822 0.6609 0.3838  6 Ge 2.90-3.06
Tb: 0.3822 0.8391 0.1162  6 Ge 2.90-3.06
Tb: 0.6178 0.1609 0.6162  6 Ge 2.90-3.06
Tb: 0.1178 0.3391 0.8838  6 Ge 2.90-3.06
Tb: 0.1178 0.3391 0.6162  6 Ge 2.90-3.06
Tb: 0.6178 0.1609 0.8838  6 Ge 2.90-3.06
Tb: 0.3822 0.8391 0.3838  6 Ge 2.90-3.06
Tb: 0.8822 0.6609 0.1162  6 Ge 2.90-3.06
Ge: 0.1643 0.6362 0.7500  1 Ge 2.75, 5 Tb 2.99-3.06
Ge: 0.6643 0.8638 0.7500  1 Ge 2.75, 5 Tb 2.99-3.06
Ge: 0.3357 0.1362 0.2500  1 Ge 2.75, 5 Tb 2.99-3.06
Ge: 0.8357 0.3638 0.2500  1 Ge 2.75, 5 Tb 2.99-3.06
Ge: 0.9135 0.1169 0.7500  1 Ge 2.75, 5 Tb 2.98-3.06
Ge: 0.4135 0.3831 0.7500  1 Ge 2.75, 5 Tb 2.98-3.06
Ge: 0.5865 0.6169 0.2500  1 Ge 2.75, 5 Tb 2.98-3.06
Ge: 0.0865 0.8831 0.2500  1 Ge 2.75, 5 Tb 2.98-3.06
Ge: 0.7771 0.4698 0.5446  7 Tb 2.90-3.24
Ge: 0.2771 0.0302 0.9554  7 Tb 2.90-3.24
Ge: 0.7229 0.9698 0.4554  7 Tb 2.90-3.24
Ge: 0.2229 0.5302 0.0446  7 Tb 2.90-3.24
Ge: 0.2229 0.5302 0.4554  7 Tb 2.90-3.24
Ge: 0.7229 0.9698 0.0446  7 Tb 2.90-3.24
Ge: 0.2771 0.0302 0.5446  7 Tb 2.90-3.24
Ge: 0.7771 0.4698 0.9554  7 Tb 2.90-3.24

Calculated volume: 221.2 Å³/f.u.
Relative energy among the computed polymorphs: 0 meV per atom
Magnetization: 0.000 Bohr magnetons per cell



2.
A relaxed structure of TbGe. Source: Alexandria via LeMat-Bulk, functional GGA-PBE.

Cell: 4.3222 6.5054 6.9508 Å, 90.00 108.15 90.00°
With the nearest neighbours (Å) after each atom.
Sites, in units of the cell vectors:
Ge: 0.8974 0.0474 0.7947  2 Ge 2.64-2.78
Ge: 0.1026 0.9526 0.2053  2 Ge 2.64-2.78
Ge: 0.1026 0.5474 0.2053  2 Ge 2.64-2.78
Ge: 0.8974 0.4526 0.7947  2 Ge 2.64-2.78
Tb: 0.7243 0.7500 0.4482  6 Ge 3.00
Tb: 0.2757 0.2500 0.5518  6 Ge 3.00
Tb: 0.4535 0.7500 0.9068  8 Ge 2.99-3.21
Tb: 0.5465 0.2500 0.0932  8 Ge 2.99-3.21

Total energy: -5.4855 eV/atom
Calculated volume: 46.4 Å³/f.u.
Magnetization: 0.000 Bohr magnetons per cell



3.
A relaxed structure of TbGe5. Source: Alexandria via LeMat-Bulk, functional GGA-PBE.

Cell: 4.0379 6.1203 6.1203 Å, 60.38 70.89 70.89°
With the nearest neighbours (Å) after each atom.
Sites, in units of the cell vectors:
Ge: 0.6677 0.1239 0.5417  3 Ge 2.57-2.64
Ge: 0.6677 0.5417 0.1239  3 Ge 2.57-2.64
Ge: 0.3323 0.4583 0.8761  3 Ge 2.57-2.64
Ge: 0.3324 0.8761 0.4583  3 Ge 2.57-2.64
Ge: 0.0000 0.5000 0.5000  8 Ge 2.90, 2 Tb 3.08
Tb: 0.0000 0.0000 0.0000  10 Ge 3.08-3.16

Total energy: -4.8487 eV/atom
Calculated volume: 121.7 Å³/f.u.
Magnetization: 0.000 Bohr magnetons per cell